Record 1
# NbCrFe2H (PBE, relaxed)
data_NbCrFe2H
_chemical_formula_sum 'Nb1 Cr1 Fe2 H1'
_cell_length_a 3.653
_cell_length_b 3.653
_cell_length_c 4.026
_cell_angle_alpha 90.00
_cell_angle_beta 90.00
_cell_angle_gamma 90.00
_space_group_name_H-M_alt 'P 4/m m m'
_space_group_IT_number 123
_space_group_name_Hall '-P 4 2'
loop_
_atom_site_label
_atom_site_type_symbol
_atom_site_fract_x
_atom_site_fract_y
_atom_site_fract_z
Nb1 Nb 0.000 0.000 0.000
Cr1 Cr 0.500 0.500 0.000
Fe1 Fe 0.000 0.500 0.500
H1 H 0.000 0.000 0.500
# V in Å³/cell: 53.7
# Total moment in μB per formula unit: 2.19
# Energy above the lowest structure with this stoichiometry in meV per atom: 34
# Total energy in eV/atom: -7.89


Record 2
# NbCrFe2H (PBE, relaxed)
data_NbCrFe2H
_chemical_formula_sum 'Nb1 Cr1 Fe2 H1'
_cell_length_a 3.714
_cell_length_b 3.714
_cell_length_c 3.811
_cell_angle_alpha 90.00
_cell_angle_beta 90.00
_cell_angle_gamma 90.00
_space_group_name_H-M_alt 'P 4/m m m'
_space_group_IT_number 123
_space_group_name_Hall '-P 4 2'
loop_
_atom_site_label
_atom_site_type_symbol
_atom_site_fract_x
_atom_site_fract_y
_atom_site_fract_z
Nb1 Nb 0.000 0.000 0.000
Cr1 Cr 0.500 0.500 0.000
Fe1 Fe 0.000 0.500 0.500
H1 H 0.500 0.500 0.500
# V in Å³/cell: 52.6
# Total moment in μB per formula unit: 1.40
# Energy above the lowest structure with this stoichiometry in meV per atom: 0
# Total energy in eV/atom: -7.92


Record 3
# Nb2CrFeH (PBE, relaxed)
data_Nb2CrFeH
_chemical_formula_sum 'Nb2 Cr1 Fe1 H1'
_cell_length_a 4.339
_cell_length_b 4.339
_cell_length_c 3.297
_cell_angle_alpha 90.00
_cell_angle_beta 90.00
_cell_angle_gamma 90.00
_space_group_name_H-M_alt 'P 4/m m m'
_space_group_IT_number 123
_space_group_name_Hall '-P 4 2'
loop_
_atom_site_label
_atom_site_type_symbol
_atom_site_fract_x
_atom_site_fract_y
_atom_site_fract_z
Nb1 Nb 0.000 0.500 0.000
Cr1 Cr 0.000 0.000 0.500
Fe1 Fe 0.500 0.500 0.500
H1 H 0.000 0.000 0.000
# V in Å³/cell: 62.1
# Total moment in μB per formula unit: 1.56
# Energy above the lowest structure with this stoichiometry in meV per atom: 34
# Total energy in eV/atom: -8.29


Record 4
# CrFeNi2H4 (PBE, relaxed)
data_CrFeNi2H4
_chemical_formula_sum 'Cr4 Fe4 Ni8 H16'
_cell_length_a 5.240
_cell_length_b 5.331
_cell_length_c 7.548
_cell_angle_alpha 90.00
_cell_angle_beta 90.00
_cell_angle_gamma 90.00
_space_group_name_H-M_alt 'I m m a'
_space_group_IT_number 74
_space_group_name_Hall '-I 2b 2'
loop_
_atom_site_label
_atom_site_type_symbol
_atom_site_fract_x
_atom_site_fract_y
_atom_site_fract_z
Cr1 Cr 0.250 0.250 0.250
Fe1 Fe 0.000 0.000 0.000
Ni1 Ni 0.000 0.000 0.500
Ni2 Ni 0.250 0.250 0.750
H1 H 0.000 0.000 0.248
H2 H 0.247 0.250 0.003
# V in Å³/cell: 210.9
# Total moment in μB per formula unit: 3.05
# Total energy in eV/atom: -5.39